Entry 1:
Entry from Alexandria: a relaxed MnGeRu2Au crystal (PBE-GGA).

Properties
calculated formation energy = 951 meV/atom
total magnetization = 0.547 μB/f.u.
calculated volume = 17.7 Å³/atom

a = 4.444 Å, b = 4.444 Å, c = 4.485 Å
α = 90.00°, β = 90.00°, γ = 90.00°
Space group P4/mmm (No. 123)
Symmetry-distinct sites (fractional):
Mn (0.000, 0.000, 0.000)
Ge (0.000, 0.000, 0.500)
Ru (0.000, 0.500, 0.000)
Au (0.500, 0.500, 0.500)

***

Entry 2:
Entry from Alexandria: a relaxed MnGe2AuSe6 crystal (PBE-GGA).

Properties
total magnetization = 4.095 μB/f.u.
uncorrected formation energy = -0.17 eV/atom
calculated volume = 25.0 Å³/atom

a = 13.186 Å, b = 11.871 Å, c = 6.755 Å
α = 90.00°, β = 109.17°, γ = 90.00°
Space group C2/c (No. 15)
Symmetry-distinct sites (fractional):
Mn (0.000, 0.108, 0.250)
Ge (0.197, 0.420, 0.273)
Au (0.000, 0.265, 0.750)
Se (0.107, 0.066, 0.627)
Se (0.123, 0.419, 0.555)
Se (0.131, 0.238, 0.115)

***

Entry 3:
Entry from Alexandria: a relaxed MnVGeAu2 crystal (PBE-GGA).

Properties
calculated formation energy = 1209 meV/atom
total magnetization = 0.077 μB/f.u.
calculated volume = 21.0 Å³/atom

a = 4.805 Å, b = 4.805 Å, c = 4.542 Å
α = 90.00°, β = 90.00°, γ = 90.00°
Space group P4/mmm (No. 123)
Symmetry-distinct sites (fractional):
Mn (0.000, 0.000, 0.000)
V (0.500, 0.500, 0.000)
Ge (0.000, 0.000, 0.500)
Au (0.000, 0.500, 0.500)

***

Entry 4:
Entry from Alexandria: a relaxed MnVGeAu crystal (PBE-GGA).

Properties
calculated formation energy = 25 meV/atom
total magnetization = 1.428 μB/f.u.
calculated volume = 15.4 Å³/atom

a = 6.273 Å, b = 6.273 Å, c = 6.273 Å
α = 90.00°, β = 90.00°, γ = 90.00°
Space group F-43m (No. 216)
Symmetry-distinct sites (fractional):
Mn (0.000, 0.000, 0.000)
V (0.000, 0.000, 0.500)
Ge (0.250, 0.250, 0.750)
Au (0.250, 0.250, 0.250)

***

Entry 5:
Entry from Alexandria: a relaxed GeMoAu2 crystal (PBE-GGA).

Properties
calculated formation energy = 379 meV/atom
total magnetization = 1.170 μB/f.u.
calculated volume = 18.4 Å³/atom

a = 3.785 Å, b = 3.785 Å, c = 20.574 Å
α = 90.00°, β = 90.00°, γ = 90.00°
Space group I-42d (No. 122)
Symmetry-distinct sites (fractional):
Ge (0.000, 0.000, 0.000)
Mo (0.000, 0.000, 0.500)
Au (0.250, 0.250, 0.125)

***

Entry 6:
Entry from Alexandria: a relaxed GeMo4Au2 crystal (PBE-GGA).

Properties
calculated formation energy = 1266 meV/atom
total magnetization = 2.972 μB/f.u.
calculated volume = 20.2 Å³/atom

a = 4.635 Å, b = 4.635 Å, c = 13.168 Å
α = 90.00°, β = 90.00°, γ = 90.00°
Space group I4/mmm (No. 139)
Symmetry-distinct sites (fractional):
Ge (0.000, 0.000, 0.000)
Mo (0.000, 0.000, 0.182)
Mo (0.000, 0.500, 0.000)
Au (0.000, 0.000, 0.378)

***

Entry 7:
Entry from Alexandria: a relaxed Ge2Mo2Au crystal (PBE-GGA).

Properties
calculated formation energy = 129 meV/atom
total magnetization = 0.000 μB/f.u.
distance to the lowest polymorph of the same formula = 0.00 eV/f.u.
calculated volume = 16.8 Å³/atom

a = 7.187 Å, b = 7.187 Å, c = 3.258 Å
α = 90.00°, β = 90.00°, γ = 90.00°
Space group P4/mbm (No. 127)
Symmetry-distinct sites (fractional):
Ge (0.164, 0.336, 0.000)
Mo (0.130, 0.630, 0.500)
Au (0.000, 0.000, 0.500)

***

Entry 8:
Entry from Alexandria: a relaxed GeMoAu3 crystal (PBE-GGA).

Properties
calculated formation energy = 1206 meV/atom
total magnetization = 0.000 μB/f.u.
distance to the lowest polymorph of the same formula = 1.43 eV/f.u.
calculated volume = 25.7 Å³/atom

a = 5.044 Å, b = 5.044 Å, c = 5.044 Å
α = 90.00°, β = 90.00°, γ = 90.00°
Space group Pm-3m (No. 221)
Symmetry-distinct sites (fractional):
Ge (0.000, 0.000, 0.000)
Mo (0.500, 0.500, 0.500)
Au (0.000, 0.500, 0.500)

***

Entry 9:
Entry from Alexandria: a relaxed GeMoAu3 crystal (PBE-GGA).

Properties
calculated formation energy = 920 meV/atom
total magnetization = 4.496 μB/f.u.
distance to the lowest polymorph of the same formula = 0.00 eV/f.u.
calculated volume = 22.8 Å³/atom

a = 4.849 Å, b = 4.849 Å, c = 4.849 Å
α = 90.00°, β = 90.00°, γ = 90.00°
Space group Pm-3m (No. 221)
Symmetry-distinct sites (fractional):
Ge (0.000, 0.000, 0.000)
Mo (0.500, 0.500, 0.500)
Au (0.000, 0.000, 0.500)

***

Entry 10:
Entry from Alexandria: a relaxed Ge2Mo2Au crystal (PBE-GGA).

Properties
calculated formation energy = 175 meV/atom
total magnetization = 0.000 μB/f.u.
distance to the lowest polymorph of the same formula = 0.23 eV/f.u.
calculated volume = 16.4 Å³/atom

a = 7.111 Å, b = 7.111 Å, c = 3.236 Å
α = 90.00°, β = 90.00°, γ = 90.00°
Space group P4/mbm (No. 127)
Symmetry-distinct sites (fractional):
Ge (0.147, 0.353, 0.000)
Mo (0.145, 0.645, 0.500)
Au (0.000, 0.000, 0.000)

***

Entry 11:
Entry from Alexandria: a relaxed NiGe2MoAu crystal (PBE-GGA).

Properties
calculated formation energy = 1381 meV/atom
total magnetization = 3.369 μB/f.u.
calculated volume = 22.2 Å³/atom

a = 4.841 Å, b = 4.841 Å, c = 4.743 Å
α = 90.00°, β = 90.00°, γ = 90.00°
Space group P4/mmm (No. 123)
Symmetry-distinct sites (fractional):
Ni (0.000, 0.000, 0.000)
Ge (0.000, 0.500, 0.500)
Mo (0.500, 0.500, 0.000)
Au (0.000, 0.000, 0.500)

***

Entry 12:
Entry from Alexandria: a relaxed GeMoOs2Au crystal (PBE-GGA).

Properties
calculated formation energy = 2659 meV/atom
total magnetization = 4.414 μB/f.u.
calculated volume = 23.1 Å³/atom

a = 4.872 Å, b = 4.872 Å, c = 4.876 Å
α = 90.00°, β = 90.00°, γ = 90.00°
Space group P4/mmm (No. 123)
Symmetry-distinct sites (fractional):
Ge (0.000, 0.000, 0.000)
Mo (0.500, 0.500, 0.000)
Os (0.000, 0.500, 0.500)
Au (0.500, 0.500, 0.500)

***

Entry 13:
Entry from Alexandria: a relaxed GeSbMo2Au crystal (PBE-GGA).

Properties
total magnetization = 6.158 μB/f.u.
uncorrected formation energy = 1.52 eV/atom
calculated volume = 25.3 Å³/atom

a = 5.226 Å, b = 5.226 Å, c = 4.624 Å
α = 90.00°, β = 90.00°, γ = 90.00°
Space group P4/mmm (No. 123)
Symmetry-distinct sites (fractional):
Ge (0.000, 0.000, 0.000)
Sb (0.500, 0.500, 0.000)
Mo (0.000, 0.500, 0.500)
Au (0.000, 0.000, 0.500)

***

Entry 14:
Entry from Alexandria: a relaxed SiGeMo2Au crystal (PBE-GGA).

Properties
total magnetization = 0.738 μB/f.u.
uncorrected formation energy = 1.08 eV/atom
calculated volume = 19.1 Å³/atom

a = 4.573 Å, b = 4.573 Å, c = 4.572 Å
α = 90.00°, β = 90.00°, γ = 90.00°
Space group P4/mmm (No. 123)
Symmetry-distinct sites (fractional):
Si (0.000, 0.000, 0.000)
Ge (0.000, 0.000, 0.500)
Mo (0.000, 0.500, 0.000)
Au (0.500, 0.500, 0.500)

***

Entry 15:
Entry from Alexandria: a relaxed GeTeMoAu2 crystal (PBE-GGA).

Properties
total magnetization = 0.683 μB/f.u.
uncorrected formation energy = 0.94 eV/atom
calculated volume = 25.5 Å³/atom

a = 5.115 Å, b = 5.115 Å, c = 4.867 Å
α = 90.00°, β = 90.00°, γ = 90.00°
Space group P4/mmm (No. 123)
Symmetry-distinct sites (fractional):
Ge (0.000, 0.000, 0.000)
Te (0.500, 0.500, 0.000)
Mo (0.000, 0.000, 0.500)
Au (0.000, 0.500, 0.500)

***

Entry 16:
Entry from Alexandria: a relaxed GeAuN crystal (PBE-GGA).

Properties
total magnetization = 0.000 μB/f.u.
distance to the lowest polymorph of the same formula = 0.00 eV/f.u.
uncorrected formation energy = 0.16 eV/atom
calculated volume = 27.6 Å³/atom

a = 5.380 Å, b = 5.230 Å, c = 11.972 Å
α = 90.00°, β = 100.46°, γ = 90.00°
Space group C2/m (No. 12)
Symmetry-distinct sites (fractional):
Ge (0.206, 0.000, 0.391)
Au (0.201, 0.500, 0.380)
N (0.050, 0.000, 0.963)

***

Entry 17:
Entry from Alexandria: a relaxed GeAuN crystal (PBE-GGA).

Properties
total magnetization = 0.000 μB/f.u.
distance to the lowest polymorph of the same formula = 1.26 eV/f.u.
uncorrected formation energy = 0.58 eV/atom
calculated volume = 15.7 Å³/atom

a = 12.383 Å, b = 2.770 Å, c = 2.819 Å
α = 90.00°, β = 103.00°, γ = 90.00°
Space group Cm (No. 8)
Symmetry-distinct sites (fractional):
Ge (0.000, 0.000, 0.000)
Au (0.203, 0.500, 0.201)
N (0.458, 0.000, 0.458)

***

Entry 18:
Entry from Alexandria: a relaxed GeAuN2 crystal (PBE-GGA).

Properties
total magnetization = 0.000 μB/f.u.
uncorrected formation energy = 1.25 eV/atom
calculated volume = 14.0 Å³/atom

a = 3.2699 Å, b = 3.2699 Å, c = 18.1987 Å
α = 90.00°, β = 90.00°, γ = 120.00°
Space group R-3m (No. 166, hexagonal axes)
Symmetry-distinct sites (fractional):
Ge (0.0000, 0.0000, 0.0000)
Au (0.0000, 0.0000, 0.5000)
N (0.0000, 0.0000, 0.1092)

***

Entry 19:
Entry from Alexandria: a relaxed GeAuN2 crystal (PBE-GGA).

Properties
total magnetization = 0.001 μB/f.u.
uncorrected formation energy = 0.66 eV/atom
calculated volume = 13.3 Å³/atom

a = 4.964 Å, b = 4.964 Å, c = 8.627 Å
α = 90.00°, β = 90.00°, γ = 90.00°
Space group I-42d (No. 122)
Symmetry-distinct sites (fractional):
Ge (0.000, 0.000, 0.000)
Au (0.000, 0.000, 0.500)
N (0.184, 0.250, 0.125)

***

Entry 20:
Entry from Alexandria: a relaxed Ge3AuN crystal (PBE-GGA).

Properties
total magnetization = 0.000 μB/f.u.
uncorrected formation energy = 1.66 eV/atom
calculated volume = 24.4 Å³/atom

a = 4.958 Å, b = 4.958 Å, c = 4.958 Å
α = 90.00°, β = 90.00°, γ = 90.00°
Space group Pm-3m (No. 221)
Symmetry-distinct sites (fractional):
Ge (0.000, 0.000, 0.500)
Au (0.000, 0.000, 0.000)
N (0.500, 0.500, 0.500)

***

Entry 21:
Entry from Alexandria: a relaxed GeAuN2 crystal (PBE-GGA).

Properties
total magnetization = 0.000 μB/f.u.
uncorrected formation energy = 0.51 eV/atom
calculated volume = 12.1 Å³/atom

a = 3.0118 Å, b = 3.0118 Å, c = 18.4681 Å
α = 90.00°, β = 90.00°, γ = 120.00°
Space group R-3m (No. 166, hexagonal axes)
Symmetry-distinct sites (fractional):
Ge (0.0000, 0.0000, 0.0000)
Au (0.0000, 0.0000, 0.5000)
N (0.0000, 0.0000, 0.3895)

***

Entry 22:
Entry from Alexandria: a relaxed NpGeAuN crystal (PBE-GGA).

Properties
total magnetization = 3.021 μB/f.u.
uncorrected formation energy = -0.57 eV/atom
calculated volume = 17.2 Å³/atom

a = 4.076 Å, b = 4.076 Å, c = 8.267 Å
α = 90.00°, β = 90.00°, γ = 90.00°
Space group P4/nmm (No. 129, origin choice 2)
Symmetry-distinct sites (fractional):
Np (0.250, 0.250, 0.124)
Ge (0.250, 0.250, 0.704)
Au (0.250, 0.750, 0.500)
N (0.250, 0.750, 0.000)

***

Entry 23:
Entry from Alexandria: a relaxed Ge2PAuN crystal (PBE-GGA).

Properties
total magnetization = 0.000 μB/f.u.
uncorrected formation energy = 0.59 eV/atom
calculated volume = 16.4 Å³/atom

a = 4.791 Å, b = 4.791 Å, c = 3.578 Å
α = 90.00°, β = 90.00°, γ = 90.00°
Space group P4/mmm (No. 123)
Symmetry-distinct sites (fractional):
Ge (0.000, 0.500, 0.000)
P (0.000, 0.000, 0.500)
Au (0.500, 0.500, 0.500)
N (0.000, 0.000, 0.000)

***

Entry 24:
Entry from Alexandria: a relaxed GeP2AuN crystal (PBE-GGA).

Properties
total magnetization = 0.000 μB/f.u.
uncorrected formation energy = 1.13 eV/atom
calculated volume = 17.0 Å³/atom

a = 4.918 Å, b = 4.918 Å, c = 3.522 Å
α = 90.00°, β = 90.00°, γ = 90.00°
Space group P4/mmm (No. 123)
Symmetry-distinct sites (fractional):
Ge (0.000, 0.000, 0.000)
P (0.000, 0.500, 0.000)
Au (0.500, 0.500, 0.500)
N (0.000, 0.000, 0.500)

***

Entry 25:
Entry from Alexandria: a relaxed Pa2Ge2AuN2 crystal (PBE-GGA).

Properties
total magnetization = 0.001 μB/f.u.
uncorrected formation energy = -0.54 eV/atom
calculated volume = 21.1 Å³/atom

a = 3.7724 Å, b = 3.7724 Å, c = 11.9719 Å
α = 90.00°, β = 90.00°, γ = 120.00°
Space group P-3m1 (No. 164)
Symmetry-distinct sites (fractional):
Pa (0.3333, 0.6667, 0.2951)
Ge (0.0000, 0.0000, 0.1012)
Au (0.0000, 0.0000, 0.5000)
N (0.3333, 0.6667, 0.6912)

***

Entry 26:
Entry from Alexandria: a relaxed Pa2GeAu2N2 crystal (PBE-GGA).

Properties
total magnetization = 0.000 μB/f.u.
uncorrected formation energy = -0.61 eV/atom
calculated volume = 21.5 Å³/atom

a = 3.7900 Å, b = 3.7900 Å, c = 12.1081 Å
α = 90.00°, β = 90.00°, γ = 120.00°
Space group P-3m1 (No. 164)
Symmetry-distinct sites (fractional):
Pa (0.3333, 0.6667, 0.2966)
Ge (0.0000, 0.0000, 0.5000)
Au (0.0000, 0.0000, 0.1133)
N (0.3333, 0.6667, 0.7027)

***

Entry 27:
Entry from Alexandria: a relaxed GePbAu2N crystal (PBE-GGA).

Properties
total magnetization = 2.375 μB/f.u.
uncorrected formation energy = 1.70 eV/atom
calculated volume = 32.5 Å³/atom

a = 5.371 Å, b = 5.371 Å, c = 5.631 Å
α = 90.00°, β = 90.00°, γ = 90.00°
Space group P4/mmm (No. 123)
Symmetry-distinct sites (fractional):
Ge (0.000, 0.000, 0.000)
Pb (0.000, 0.000, 0.500)
Au (0.000, 0.500, 0.500)
N (0.500, 0.500, 0.000)